(1)
VASP calculation (PBE) on LaTiOsPt2 after structural relaxation.

The value obtained for the mass density is 11.8 Mg/m³. As for the magnetic moment: 0.000 μB per formula unit.

It has space group P4/mmm (No. 123), with a = 4.8359 Å, b = 4.8359 Å, c = 4.6015 Å, α = 90.00°, β = 90.00° and γ = 90.00°. The inequivalent atoms are La at (0.0000, 0.0000, 0.0000), Ti at (0.5000, 0.5000, 0.5000), Os at (0.5000, 0.5000, 0.0000) and Pt at (0.0000, 0.5000, 0.5000).

=====

(2)
VASP calculation (PBE) on LaTiOsPt2 after structural relaxation.

The value obtained for the mass density is 10.2 Mg/m³. As for the magnetic moment: 2.434 μB per formula unit.

It has space group P4/mmm (No. 123), with a = 4.9856 Å, b = 4.9856 Å, c = 5.0454 Å, α = 90.00°, β = 90.00° and γ = 90.00°. The inequivalent atoms are La at (0.0000, 0.0000, 0.0000), Ti at (0.5000, 0.5000, 0.0000), Os at (0.0000, 0.0000, 0.5000) and Pt at (0.0000, 0.5000, 0.5000).

=====

(1) is preferred energetically. Next in line: 807 meV/atom higher.

=====

(1)
VASP calculation (PBE) on Rb2LaOs after structural relaxation.

The value obtained for the mass density is 6.4 Mg/m³. As for the magnetic moment: 0.367 μB per formula unit.

It has space group I-42d (No. 122), with a = 4.4191 Å, b = 4.4191 Å, c = 26.6590 Å, α = 90.00°, β = 90.00° and γ = 90.00°. The inequivalent atoms are Rb at (0.2446, 0.2500, 0.1250), La at (0.0000, 0.0000, 0.5000) and Os at (0.0000, 0.0000, 0.0000).

=====

(2)
VASP calculation (PBE) on Rb2LaOs after structural relaxation.

The value obtained for the mass density is 6.8 Mg/m³. As for the magnetic moment: 0.000 μB per formula unit.

It has space group Fm-3m (No. 225), with a = 7.8583 Å, b = 7.8583 Å, c = 7.8583 Å, α = 90.00°, β = 90.00° and γ = 90.00°. The inequivalent atoms are Rb at (0.2500, 0.2500, 0.2500), La at (0.0000, 0.0000, 0.0000) and Os at (0.0000, 0.0000, 0.5000).

=====

(1) is preferred energetically. Next in line: 520 meV/atom higher.

=====

(1)
VASP calculation (PBE) on RbLaOs3 after structural relaxation.

The value obtained for the mass density is 9.9 Mg/m³. As for the magnetic moment: 3.855 μB per formula unit.

It has space group Pm-3m (No. 221), with a = 5.1107 Å, b = 5.1107 Å, c = 5.1107 Å, α = 90.00°, β = 90.00° and γ = 90.00°. The inequivalent atoms are Rb at (0.0000, 0.0000, 0.0000), La at (0.5000, 0.5000, 0.5000) and Os at (0.0000, 0.5000, 0.5000).

=====

(2)
VASP calculation (PBE) on RbLaOs3 after structural relaxation.

The value obtained for the mass density is 11.6 Mg/m³. As for the magnetic moment: 0.000 μB per formula unit.

It has space group Pm-3m (No. 221), with a = 4.8440 Å, b = 4.8440 Å, c = 4.8440 Å, α = 90.00°, β = 90.00° and γ = 90.00°. The inequivalent atoms are Rb at (0.0000, 0.0000, 0.0000), La at (0.5000, 0.5000, 0.5000) and Os at (0.0000, 0.0000, 0.5000).

=====

(1) is preferred energetically. Next in line: 377 meV/atom higher.

=====

(1)
VASP calculation (PBE) on RbLa3Os after structural relaxation.

The value obtained for the mass density is 5.9 Mg/m³. As for the magnetic moment: 0.000 μB per formula unit.

It has space group Pm-3m (No. 221), with a = 5.8115 Å, b = 5.8115 Å, c = 5.8115 Å, α = 90.00°, β = 90.00° and γ = 90.00°. The inequivalent atoms are Rb at (0.0000, 0.0000, 0.0000), La at (0.0000, 0.5000, 0.5000) and Os at (0.5000, 0.5000, 0.5000).

=====

(2)
VASP calculation (PBE) on RbLa3Os after structural relaxation.

The value obtained for the mass density is 7.1 Mg/m³. As for the magnetic moment: 0.665 μB per formula unit.

It has space group Pm-3m (No. 221), with a = 5.4521 Å, b = 5.4521 Å, c = 5.4521 Å, α = 90.00°, β = 90.00° and γ = 90.00°. The inequivalent atoms are Rb at (0.0000, 0.0000, 0.0000), La at (0.0000, 0.0000, 0.5000) and Os at (0.5000, 0.5000, 0.5000).

=====

(1) is preferred energetically. Next in line: 1786 meV/atom higher.

=====

(1)
VASP calculation (PBE) on RbLa2Os after structural relaxation.

The value obtained for the mass density is 8.3 Mg/m³. As for the magnetic moment: 0.000 μB per formula unit.

It has space group Fm-3m (No. 225), with a = 7.6117 Å, b = 7.6117 Å, c = 7.6117 Å, α = 90.00°, β = 90.00° and γ = 90.00°. The inequivalent atoms are Rb at (0.0000, 0.0000, 0.0000), La at (0.2500, 0.2500, 0.2500) and Os at (0.0000, 0.0000, 0.5000).

=====

(2)
VASP calculation (PBE) on RbLa2Os after structural relaxation.

The value obtained for the mass density is 4.1 Mg/m³. As for the magnetic moment: 0.000 μB per formula unit.

It has space group I-42d (No. 122), with a = 8.5704 Å, b = 8.5704 Å, c = 12.1107 Å, α = 90.00°, β = 90.00° and γ = 90.00°. The inequivalent atoms are Rb at (0.0000, 0.0000, 0.0000), La at (0.0022, 0.2500, 0.6250) and Os at (0.0000, 0.0000, 0.5000).

=====

(2) is preferred energetically. Next in line: 280 meV/atom higher.

=====

(1)
VASP calculation (PBE) on La2ReOs after structural relaxation.

The value obtained for the mass density is 12.5 Mg/m³. As for the magnetic moment: 0.000 μB per formula unit.

It has space group R3m (No. 160, hexagonal axes), with a = 3.0636 Å, b = 3.0636 Å, c = 32.1616 Å, α = 90.00°, β = 90.00° and γ = 120.00°. The inequivalent atoms are La at (0.0000, 0.0000, 0.0000), La at (0.0000, 0.0000, 0.2253), Re at (0.0000, 0.0000, 0.4750) and Os at (0.0000, 0.0000, 0.7490).

=====

(2)
VASP calculation (PBE) on La2ReOs after structural relaxation.

The value obtained for the mass density is 12.3 Mg/m³. As for the magnetic moment: 0.318 μB per formula unit.

It has space group I-4m2 (No. 119), with a = 4.2163 Å, b = 4.2163 Å, c = 9.9304 Å, α = 90.00°, β = 90.00° and γ = 90.00°. The inequivalent atoms are La at (0.0000, 0.0000, 0.0000), La at (0.0000, 0.5000, 0.2500), Re at (0.0000, 0.0000, 0.5000) and Os at (0.0000, 0.5000, 0.7500).

=====

(3)
VASP calculation (PBE) on La2ReOs after structural relaxation.

The value obtained for the mass density is 11.9 Mg/m³. As for the magnetic moment: 0.000 μB per formula unit.

It has space group Fm-3m (No. 225), with a = 7.1415 Å, b = 7.1415 Å, c = 7.1415 Å, α = 90.00°, β = 90.00° and γ = 90.00°. The inequivalent atoms are La at (0.2500, 0.2500, 0.2500), Re at (0.0000, 0.0000, 0.0000) and Os at (0.0000, 0.0000, 0.5000).

=====

(4)
VASP calculation (PBE) on La2ReOs after structural relaxation.

The value obtained for the mass density is 13.0 Mg/m³. As for the magnetic moment: 0.000 μB per formula unit.

It has space group Pmmm (No. 47), with a = 3.3677 Å, b = 4.7844 Å, c = 5.1950 Å, α = 90.00°, β = 90.00° and γ = 90.00°. The inequivalent atoms are La at (0.0000, 0.0000, 0.0000), La at (0.5000, 0.0000, 0.5000), Re at (0.0000, 0.5000, 0.5000) and Os at (0.5000, 0.5000, 0.0000).

=====

(3) is preferred energetically. Next in line: 48 meV/atom higher.

=====

(1)
VASP calculation (PBE) on LaRe2Os after structural relaxation.

The value obtained for the mass density is 16.6 Mg/m³. As for the magnetic moment: 0.000 μB per formula unit.

It has space group Cmmm (No. 65), with a = 2.9769 Å, b = 4.7750 Å, c = 9.9007 Å, α = 90.00°, β = 90.00° and γ = 90.00°. The inequivalent atoms are La at (0.0000, 0.0000, 0.0000), Re at (0.0000, 0.5000, 0.2787) and Os at (0.0000, 0.0000, 0.5000).

=====

(2)
VASP calculation (PBE) on LaRe2Os after structural relaxation.

The value obtained for the mass density is 15.2 Mg/m³. As for the magnetic moment: 0.000 μB per formula unit.

It has space group C2/m (No. 12), with a = 10.1236 Å, b = 3.0026 Å, c = 5.2076 Å, α = 90.00°, β = 104.62° and γ = 90.00°. The inequivalent atoms are La at (0.0000, 0.0000, 0.0000), Re at (0.2199, 0.0000, 0.6751) and Os at (0.0000, 0.5000, 0.5000).

=====

(3)
VASP calculation (PBE) on LaRe2Os after structural relaxation.

The value obtained for the mass density is 15.8 Mg/m³. As for the magnetic moment: 0.000 μB per formula unit.

It has space group Immm (No. 71), with a = 2.8832 Å, b = 4.9388 Å, c = 10.3696 Å, α = 90.00°, β = 90.00° and γ = 90.00°. The inequivalent atoms are La at (0.0000, 0.0000, 0.0000), Re at (0.0000, 0.5000, 0.2165) and Os at (0.0000, 0.0000, 0.5000).

=====

(2) is preferred energetically. Next in line: 54 meV/atom higher.

=====

(1)
VASP calculation (PBE) on LaRe2Os after structural relaxation.

The value obtained for the mass density is 16.3 Mg/m³. As for the magnetic moment: 0.001 μB per formula unit.

It has space group I-4m2 (No. 119), with a = 4.5862 Å, b = 4.5862 Å, c = 6.8058 Å, α = 90.00°, β = 90.00° and γ = 90.00°. The inequivalent atoms are La at (0.0000, 0.0000, 0.0000), Re at (0.0000, 0.0000, 0.5000), Re at (0.0000, 0.5000, 0.2500) and Os at (0.0000, 0.5000, 0.7500).

=====

(2)
VASP calculation (PBE) on LaRe2Os after structural relaxation.

The value obtained for the mass density is 16.5 Mg/m³. As for the magnetic moment: 0.155 μB per formula unit.

It has space group R3m (No. 160, hexagonal axes), with a = 2.8575 Å, b = 2.8575 Å, c = 29.8673 Å, α = 90.00°, β = 90.00° and γ = 120.00°. The inequivalent atoms are La at (0.0000, 0.0000, 0.0000), Re at (0.0000, 0.0000, 0.2375), Re at (0.0000, 0.0000, 0.4992) and Os at (0.0000, 0.0000, 0.7613).

=====

(3)
VASP calculation (PBE) on LaRe2Os after structural relaxation.

The value obtained for the mass density is 15.8 Mg/m³. As for the magnetic moment: 0.001 μB per formula unit.

It has space group P4/mmm (No. 123), with a = 3.8956 Å, b = 3.8956 Å, c = 4.8739 Å, α = 90.00°, β = 90.00° and γ = 90.00°. The inequivalent atoms are La at (0.0000, 0.0000, 0.0000), Re at (0.0000, 0.5000, 0.5000) and Os at (0.5000, 0.5000, 0.0000).

=====

(4)
VASP calculation (PBE) on LaRe2Os after structural relaxation.

The value obtained for the mass density is 16.5 Mg/m³. As for the magnetic moment: 0.000 μB per formula unit.

It has space group Fm-3m (No. 225), with a = 6.5623 Å, b = 6.5623 Å, c = 6.5623 Å, α = 90.00°, β = 90.00° and γ = 90.00°. The inequivalent atoms are La at (0.0000, 0.0000, 0.0000), Re at (0.2500, 0.2500, 0.2500) and Os at (0.0000, 0.0000, 0.5000).

=====

(2) is preferred energetically. Next in line: 182 meV/atom higher.

=====

(1)
VASP calculation (PBE) on LaRe2Os after structural relaxation.

The value obtained for the mass density is 15.3 Mg/m³. As for the magnetic moment: 0.001 μB per formula unit.

It has space group P2/m (No. 10), with a = 2.8121 Å, b = 3.7395 Å, c = 7.2581 Å, α = 90.00°, β = 90.22° and γ = 90.00°. The inequivalent atoms are La at (0.0000, 0.0000, 0.0000), Re at (0.4973, 0.5000, 0.3194) and Os at (0.0000, 0.0000, 0.5000).

=====

(2)
VASP calculation (PBE) on LaRe2Os after structural relaxation.

The value obtained for the mass density is 16.2 Mg/m³. As for the magnetic moment: 0.000 μB per formula unit.

It has space group P4/mmm (No. 123), with a = 2.8449 Å, b = 2.8449 Å, c = 8.8696 Å, α = 90.00°, β = 90.00° and γ = 90.00°. The inequivalent atoms are La at (0.0000, 0.0000, 0.0000), Re at (0.5000, 0.5000, 0.2953) and Os at (0.0000, 0.0000, 0.5000).

=====

(2) is preferred energetically. Next in line: 22 meV/atom higher.

=====

(1)
VASP calculation (PBE) on LaRe2Os after structural relaxation.

The value obtained for the mass density is 16.1 Mg/m³. As for the magnetic moment: 0.000 μB per formula unit.

It has space group Pmmm (No. 47), with a = 3.1391 Å, b = 4.7120 Å, c = 4.8974 Å, α = 90.00°, β = 90.00° and γ = 90.00°. The inequivalent atoms are La at (0.0000, 0.0000, 0.0000), Re at (0.0000, 0.5000, 0.5000), Re at (0.5000, 0.0000, 0.5000) and Os at (0.5000, 0.5000, 0.0000).

=====

(2)
VASP calculation (PBE) on LaRe2Os after structural relaxation.

The value obtained for the mass density is 14.3 Mg/m³. As for the magnetic moment: 0.000 μB per formula unit.

It has space group Cm (No. 8), with a = 9.2723 Å, b = 3.0233 Å, c = 6.0435 Å, α = 90.00°, β = 106.29° and γ = 90.00°. The inequivalent atoms are La at (0.0000, 0.0000, 0.0000), Re at (0.0011, 0.5000, 0.4993), Re at (0.2744, 0.5000, 0.3484) and Os at (0.2306, 0.0000, 0.6668).

=====

(3)
VASP calculation (PBE) on LaRe2Os after structural relaxation.

The value obtained for the mass density is 16.6 Mg/m³. As for the magnetic moment: 0.000 μB per formula unit.

It has space group Cmm2 (No. 35), with a = 3.0409 Å, b = 4.7895 Å, c = 9.6152 Å, α = 90.00°, β = 90.00° and γ = 90.00°. The inequivalent atoms are La at (0.0000, 0.0000, 0.0000), Re at (0.0000, 0.0000, 0.4966), Re at (0.0000, 0.5000, 0.7174) and Os at (0.0000, 0.5000, 0.2713).

=====

(4)
VASP calculation (PBE) on LaRe2Os after structural relaxation.

The value obtained for the mass density is 16.3 Mg/m³. As for the magnetic moment: 0.000 μB per formula unit.

It has space group P4/mmm (No. 123), with a = 4.8186 Å, b = 4.8186 Å, c = 3.0786 Å, α = 90.00°, β = 90.00° and γ = 90.00°. The inequivalent atoms are La at (0.0000, 0.0000, 0.0000), Re at (0.0000, 0.5000, 0.5000) and Os at (0.5000, 0.5000, 0.0000).

=====

(2) is preferred energetically. Next in line: 117 meV/atom higher.

=====

(1)
VASP calculation (PBE) on LaRe2Os after structural relaxation.

The value obtained for the mass density is 14.0 Mg/m³. As for the magnetic moment: 0.000 μB per formula unit.

It has space group I-42d (No. 122), with a = 7.7286 Å, b = 7.7286 Å, c = 5.5585 Å, α = 90.00°, β = 90.00° and γ = 90.00°. The inequivalent atoms are La at (0.0000, 0.0000, 0.0000), Re at (0.1892, 0.2500, 0.6250) and Os at (0.0000, 0.0000, 0.5000).

=====

(2)
VASP calculation (PBE) on LaRe2Os after structural relaxation.

The value obtained for the mass density is 16.5 Mg/m³. As for the magnetic moment: 0.000 μB per formula unit.

It has space group Cmmm (No. 65), with a = 5.9511 Å, b = 8.6566 Å, c = 2.7462 Å, α = 90.00°, β = 90.00° and γ = 90.00°. The inequivalent atoms are La at (0.0000, 0.0000, 0.0000), Re at (0.2500, 0.2500, 0.5000) and Os at (0.0000, 0.5000, 0.0000).

=====

(1) is preferred energetically. Next in line: 18 meV/atom higher.